Below is a geometry-optimized ZrHg2OsCl structure, with properties calculated at the GGA-PBEsol level.

Summary:
The symmetry is P4/mmm, No. 123. Its size of the total moment is 0.00 Bohr magnetons per cell. The value obtained for the formation energy from raw total energies is 1.225 eV/atom.

a = 5.1962 Å, b = 5.1962 Å, c = 4.1816 Å
α = 90.00°, β = 90.00°, γ = 90.00°
Sites, in units of the cell vectors:
Zr  0.0000  0.0000  0.0000
Hg  0.0000  0.5000  0.5000
Hg  0.5000  0.0000  0.5000
Os  0.5000  0.5000  0.0000
Cl  0.5000  0.5000  0.5000